Computed, not measured: a crystal of Al10V relaxed with PBEsol at the meta-GGA SCAN level of DFT.

The value obtained for the total energy is -96.1 eV per formula unit. Its formation enthalpy at 0 K is -103 kJ/mol of formula units.

a b c (Å): 14.352 14.352 14.352
angles (deg): 90.00 90.00 90.00
Space group Fd-3m (No. 227, origin choice 2)
Unique sites:
Al 0.000 0.000 0.000 (multiplicity 16)
Al 0.015 0.375 0.875 (multiplicity 48)
Al 0.060 0.060 0.323 (multiplicity 96)
V 0.000 0.000 0.500 (multiplicity 16)